(1)
First-principles (PBE) data for an optimized crystal structure of NaSrMnAs2, as listed in Alexandria via LeMat-Bulk.

```
NaSrMnAs2
1.0
5.073 0.000 0.000
0.000 5.073 0.000
0.000 0.000 5.061
Na Sr Mn As
1 1 1 2
Cartesian
0.000 0.000 0.000
0.000 0.000 2.530
2.536 2.536 2.530
0.000 2.536 0.000
2.536 0.000 0.000
```

Computed properties:
Energy of formation, eV per atom: 1.21
Space group: P4/mmm, No. 123


(2)
First-principles (PBE) data for an optimized crystal structure of Hf2TlNi2, as listed in Alexandria via LeMat-Bulk.

```
Hf2TlNi2
1.0
-2.202 2.202 4.957
2.202 -2.202 4.957
2.202 2.202 -4.957
Hf Tl Ni
2 1 2
Cartesian
2.202 0.000 2.479
0.000 2.202 2.479
0.000 0.000 0.000
0.000 0.000 3.816
0.000 0.000 6.099
```

Computed properties:
Energy of formation, eV per atom: -0.07
Space group: I4/mmm, No. 139


(3)
First-principles (PBE) data for an optimized crystal structure of LaDyHo2Er, as listed in Alexandria via LeMat-Bulk.

```
LaDyHo2Er
1.0
3.595 0.000 0.000
0.000 5.567 0.000
0.000 0.000 8.576
La Dy Ho Er
1 1 2 1
Cartesian
0.000 0.000 0.000
1.797 2.784 0.000
0.000 2.784 2.751
0.000 2.784 5.825
1.797 0.000 4.288
```

Computed properties:
Energy of formation, eV per atom: 0.27
Space group: Pmmm, No. 47


(4)
First-principles (PBE) data for an optimized crystal structure of TiNiGe2, as listed in Alexandria via LeMat-Bulk.

```
TiNiGe2
1.0
4.011 0.000 0.000
0.000 4.011 0.000
0.000 0.000 3.582
Ti Ni Ge
1 1 2
Cartesian
0.000 0.000 0.000
2.005 2.005 0.000
0.000 2.005 1.791
2.005 0.000 1.791
```

Computed properties:
Energy of formation, eV per atom: -0.34
Space group: P4/mmm, No. 123


(5)
First-principles (PBE) data for an optimized crystal structure of LuMgTl, as listed in Alexandria via LeMat-Bulk.

```
LuMgTl
1.0
7.441 0.000 0.000
-3.720 6.444 0.000
0.000 0.000 4.628
Lu Mg Tl
3 3 3
Cartesian
-2.109 3.653 0.000
1.612 2.791 0.000
4.218 0.000 0.000
-0.904 1.565 2.314
1.807 0.000 2.314
2.817 4.879 2.314
0.000 0.000 0.000
0.000 4.296 2.314
3.720 2.148 2.314
```

Computed properties:
Energy of formation, eV per atom: -0.26
Space group: P-62m, No. 189


(6)
First-principles (PBE) data for an optimized crystal structure of Nd3InTe2, as listed in Alexandria via LeMat-Bulk.

```
Nd3InTe2
1.0
-2.195 3.188 6.954
2.195 -3.188 6.954
2.195 3.188 -6.954
Nd In Te
3 1 2
Cartesian
0.000 0.000 0.000
0.000 0.000 4.629
0.000 0.000 9.279
0.000 3.188 0.000
2.195 0.000 2.325
0.000 3.188 4.629
```

Computed properties:
Relative energy among the computed polymorphs, meV per atom: 0
Raw formation energy, kJ/mol of atoms: -108.21
Space group: Immm, No. 71


(7)
First-principles (PBE) data for an optimized crystal structure of Mn3Sn5Cl16, as listed in Alexandria via LeMat-Bulk.

```
Mn3Sn5Cl16
1.0
7.125 -3.957 0.000
7.125 3.957 0.000
-0.611 0.000 13.097
Mn Sn Cl
3 5 16
Cartesian
0.000 0.000 0.000
5.747 1.969 6.428
5.747 -1.969 6.428
2.093 0.000 3.374
6.607 0.000 9.769
10.131 1.946 13.014
9.448 0.000 6.478
10.131 -1.946 13.014
3.640 2.065 5.053
1.450 0.000 11.620
5.433 2.100 11.758
8.187 2.207 1.588
4.406 0.000 1.848
7.605 1.906 8.124
4.638 0.000 7.863
6.706 0.000 5.119
3.640 -2.065 5.053
9.186 0.000 11.210
5.433 -2.100 11.758
7.605 -1.906 8.124
11.776 0.000 7.859
12.097 0.000 1.454
8.187 -2.207 1.588
13.895 0.000 5.208
```

Computed properties:
Raw formation energy, kJ/mol of atoms: -97.50
Space group: Cm, No. 8


(8)
First-principles (PBE) data for an optimized crystal structure of BaCrNi, as listed in Alexandria via LeMat-Bulk.

```
BaCrNi
1.0
4.300 0.000 0.000
-2.150 3.724 0.000
0.000 0.000 4.882
Ba Cr Ni
1 1 1
Cartesian
0.000 0.000 0.000
2.150 1.241 2.441
0.000 2.483 2.441
```

Computed properties:
Relative energy among the computed polymorphs, meV per atom: 220
Energy of formation, eV per atom: 0.48
Space group: P-6m2, No. 187


| no. | M_tot (μB/f.u.) |
| --- | --- |
| 1 | 0.5 |
| 2 | 0.0 |
| 3 | 0.0 |
| 4 | 0.0 |
| 5 | 0.0 |
| 6 | 0.0 |
| 7 | 15.0 |
| 8 | 4.2 |